Density functional theory data (PBE) for a geometry-optimized Li2ZnHPt structure.

a b c (Å): 3.9042 3.9042 3.7881
angles (deg): 90.00 90.00 90.00
Closest atoms and distances in Å follow each position.
Space group P4/mmm (No. 123)
Unique sites:
Li: 0.0000 0.5000 0.0000 (multiplicity 2)  2 H 1.95
Zn: 0.0000 0.0000 0.5000 (multiplicity 1)  8 Li 2.72, 4 Pt 2.76
H: 0.5000 0.5000 0.0000 (multiplicity 1)  2 Pt 1.89, 4 Li 1.95
Pt: 0.5000 0.5000 0.5000 (multiplicity 1)  2 H 1.89

Values from the calculation:
Total energy   -3.3339 eV per atom

Density functional theory data (PBE) for a geometry-optimized BaNb2Rh structure.

a b c (Å): 5.1390 5.1390 18.0483
angles (deg): 90.00 90.00 90.00
Closest atoms and distances in Å follow each position.
Space group I4_1/amd (No. 141, origin choice 2)
Unique sites:
Ba: 0.0000 0.2500 0.3750 (multiplicity 4)  4 Rh 3.63, 8 Nb 3.65
Nb: 0.0000 0.0000 0.0000 (multiplicity 8)  2 Nb 2.57, 2 Rh 2.60
Rh: 0.0000 0.2500 0.8750 (multiplicity 4)  4 Nb 2.60

Values from the calculation:
Energy of formation from the pure elements   826 meV per atom
Total energy   -6.5276 eV per atom